Record 1
# Pr4AgOs | Alexandria via LeMat-Bulk | PBE | relaxed
data_Pr4AgOs
_chemical_formula_sum 'Pr8 Ag2 Os2'
_cell_length_a 6.413
_cell_length_b 9.309
_cell_length_c 7.938
_cell_angle_alpha 114.54
_cell_angle_beta 98.96
_cell_angle_gamma 115.04
_symmetry_space_group_name_H-M 'P 1'
_symmetry_Int_Tables_number 1
loop_
_symmetry_equiv_pos_as_xyz
'x,y,z'
loop_
_atom_site_label
_atom_site_fract_x
_atom_site_fract_y
_atom_site_fract_z
Ag1 0.375 0.625 0.251
Ag2 0.625 0.375 0.749
Pr1 0.775 0.369 0.156
Pr2 0.237 0.278 0.343
Pr3 0.394 0.935 0.657
Pr4 0.119 0.213 0.844
Pr5 0.225 0.631 0.844
Pr6 0.763 0.722 0.657
Pr7 0.606 0.065 0.343
Pr8 0.881 0.787 0.156
Os1 0.249 0.999 0.999
Os2 0.751 0.001 0.001
# E above lowest polymorph ... 3 meV/atom
# Density of states at the Fermi level ... 13.22 states/eV per cell
# ΔE_f ... -0.13 eV/atom
# E_tot ... -0.2081 Ha/atom



Record 2
# Ba2ZnGe3Pt4 | Alexandria via LeMat-Bulk | PBE | relaxed
data_Ba2ZnGe3Pt4
_chemical_formula_sum 'Ba2 Zn1 Ge3 Pt4'
_cell_length_a 4.544
_cell_length_b 4.544
_cell_length_c 10.370
_cell_angle_alpha 90.00
_cell_angle_beta 90.00
_cell_angle_gamma 90.00
_symmetry_space_group_name_H-M 'P 1'
_symmetry_Int_Tables_number 1
loop_
_symmetry_equiv_pos_as_xyz
'x,y,z'
loop_
_atom_site_label
_atom_site_fract_x
_atom_site_fract_y
_atom_site_fract_z
Pt1 0.500 0.000 0.625
Pt2 0.000 0.500 0.375
Pt3 0.000 0.000 0.000
Pt4 0.500 0.500 0.000
Ge1 0.000 0.500 0.120
Ge2 0.500 0.000 0.880
Ge3 0.000 0.000 0.500
Ba1 0.000 0.500 0.747
Ba2 0.500 0.000 0.253
Zn1 0.500 0.500 0.500
# Density of states at the Fermi level ... 5.76 states/eV per cell
# ΔE_f ... -0.74 eV/atom
# E_tot ... -0.1856 Ha/atom



Record 3
# SbAsOs2 | Alexandria via LeMat-Bulk | PBE | relaxed
data_SbAsOs2
_chemical_formula_sum 'Sb1 As1 Os2'
_cell_length_a 3.137
_cell_length_b 3.137
_cell_length_c 6.645
_cell_angle_alpha 90.00
_cell_angle_beta 90.00
_cell_angle_gamma 90.00
_symmetry_space_group_name_H-M 'P 1'
_symmetry_Int_Tables_number 1
loop_
_symmetry_equiv_pos_as_xyz
'x,y,z'
loop_
_atom_site_label
_atom_site_fract_x
_atom_site_fract_y
_atom_site_fract_z
Os1 0.000 0.000 0.531
Os2 0.000 0.000 0.969
Sb1 0.500 0.500 0.250
As1 0.500 0.500 0.750
# E above lowest polymorph ... 250 meV/atom
# Uncorrected formation energy ... 548 meV per atom
# Density of states at the Fermi level ... 2.08 states/eV per cell
# E_tot ... -0.2668 Ha/atom



Record 4
# CsCrCdH6 | Alexandria via LeMat-Bulk | PBE | relaxed
data_CsCrCdH6
_chemical_formula_sum 'Cs1 Cr1 Cd1 H6'
_cell_length_a 5.077
_cell_length_b 5.077
_cell_length_c 5.964
_cell_angle_alpha 90.00
_cell_angle_beta 90.00
_cell_angle_gamma 60.00
_symmetry_space_group_name_H-M 'P 1'
_symmetry_Int_Tables_number 1
loop_
_symmetry_equiv_pos_as_xyz
'x,y,z'
loop_
_atom_site_label
_atom_site_fract_x
_atom_site_fract_y
_atom_site_fract_z
Cs1 0.000 0.000 0.000
H1 0.478 0.044 0.694
H2 0.478 0.478 0.306
H3 0.044 0.478 0.306
H4 0.478 0.478 0.694
H5 0.044 0.478 0.694
H6 0.478 0.044 0.306
Cd1 0.667 0.667 0.500
Cr1 0.333 0.333 0.500
# Density of states at the Fermi level ... 0.54 states/eV per cell
# E_tot ... -0.1287 Ha/atom



Record 5
# DyHo2Ru3 | Alexandria via LeMat-Bulk | PBE | relaxed
data_DyHo2Ru3
_chemical_formula_sum 'Dy1 Ho2 Ru3'
_cell_length_a 3.394
_cell_length_b 3.394
_cell_length_c 10.119
_cell_angle_alpha 90.00
_cell_angle_beta 90.00
_cell_angle_gamma 90.00
_symmetry_space_group_name_H-M 'P 1'
_symmetry_Int_Tables_number 1
loop_
_symmetry_equiv_pos_as_xyz
'x,y,z'
loop_
_atom_site_label
_atom_site_fract_x
_atom_site_fract_y
_atom_site_fract_z
Dy1 0.500 0.500 0.500
Ru1 0.000 0.000 0.000
Ru2 0.000 0.000 0.333
Ru3 0.000 0.000 0.667
Ho1 0.500 0.500 0.166
Ho2 0.500 0.500 0.834
# E above lowest polymorph ... 0 meV/atom
# Density of states at the Fermi level ... 5.94 states/eV per cell
# ΔE_f ... -0.35 eV/atom
# E_tot ... -0.2674 Ha/atom



Record 6
# Fe2SiPt | Alexandria via LeMat-Bulk | PBE | relaxed
data_Fe2SiPt
_chemical_formula_sum 'Fe2 Si1 Pt1'
_cell_length_a 3.597
_cell_length_b 3.597
_cell_length_c 3.946
_cell_angle_alpha 90.00
_cell_angle_beta 90.00
_cell_angle_gamma 90.00
_symmetry_space_group_name_H-M 'P 1'
_symmetry_Int_Tables_number 1
loop_
_symmetry_equiv_pos_as_xyz
'x,y,z'
loop_
_atom_site_label
_atom_site_fract_x
_atom_site_fract_y
_atom_site_fract_z
Fe1 0.000 0.000 0.000
Fe2 0.500 0.500 0.000
Pt1 0.500 0.000 0.500
Si1 0.000 0.500 0.500
# Uncorrected formation energy ... -308 meV per atom
# Density of states at the Fermi level ... 2.48 states/eV per cell
# E_tot ... -0.2721 Ha/atom



Record 7
# Zn2MoBr | Alexandria via LeMat-Bulk | PBE | relaxed
data_Zn2MoBr
_chemical_formula_sum 'Zn2 Mo1 Br1'
_cell_length_a 2.852
_cell_length_b 2.852
_cell_length_c 9.610
_cell_angle_alpha 90.00
_cell_angle_beta 90.00
_cell_angle_gamma 90.00
_symmetry_space_group_name_H-M 'P 1'
_symmetry_Int_Tables_number 1
loop_
_symmetry_equiv_pos_as_xyz
'x,y,z'
loop_
_atom_site_label
_atom_site_fract_x
_atom_site_fract_y
_atom_site_fract_z
Zn1 0.000 0.000 0.943
Zn2 0.000 0.000 0.557
Br1 0.500 0.500 0.250
Mo1 0.500 0.500 0.750
# E above lowest polymorph ... 106 meV/atom
# Uncorrected formation energy ... 336 meV per atom
# Density of states at the Fermi level ... 2.56 states/eV per cell
# E_tot ... -0.1259 Ha/atom



Record 8
# Ac4Ge2Ru | Alexandria via LeMat-Bulk | PBE | relaxed
data_Ac4Ge2Ru
_chemical_formula_sum 'Ac4 Ge2 Ru1'
_cell_length_a 4.916
_cell_length_b 7.681
_cell_length_c 7.546
_cell_angle_alpha 117.63
_cell_angle_beta 109.01
_cell_angle_gamma 90.00
_symmetry_space_group_name_H-M 'P 1'
_symmetry_Int_Tables_number 1
loop_
_symmetry_equiv_pos_as_xyz
'x,y,z'
loop_
_atom_site_label
_atom_site_fract_x
_atom_site_fract_y
_atom_site_fract_z
Ge1 0.781 0.769 0.563
Ge2 0.219 0.231 0.437
Ac1 0.399 0.708 0.797
Ac2 0.866 0.220 0.731
Ac3 0.134 0.780 0.269
Ac4 0.601 0.292 0.203
Ru1 0.000 0.000 0.000
# E above lowest polymorph ... 52 meV/atom
# Density of states at the Fermi level ... 4.83 states/eV per cell
# ΔE_f ... -0.40 eV/atom
# E_tot ... -0.1982 Ha/atom